P | First-principles (GGA-PBE) data for a relaxed structure of Er2TcH, as listed in the Alexandria database.

Cell: 3.2998 3.2998 6.9145 Å, 90.00 90.00 90.00°
With the nearest neighbours (Å) after each atom.
Positions (direct):
H 0.5000 0.5000 0.5000  8 Er 2.94
Tc 0.5000 0.5000 0.0000  8 Er 2.86
Er 0.0000 0.0000 0.7596  4 Tc 2.86, 4 H 2.94
Er 0.0000 0.0000 0.2404  4 Tc 2.86, 4 H 2.94

Computed properties:
Its density of states at the Fermi level is 2.2 states/eV/cell. The crystal system is tetragonal.

---

Q | First-principles (GGA-PBE) data for a relaxed structure of Er2TcH, as listed in the Alexandria database.

Cell: 3.4477 3.4477 7.2705 Å, 76.28 76.28 60.00°
With the nearest neighbours (Å) after each atom.
Positions (direct):
H 0.5000 0.5000 0.5000  6 Er 2.50
Tc 0.0000 0.0000 0.0000  6 Er 2.82
Er 0.7616 0.7616 0.7153  3 H 2.50
Er 0.2384 0.2384 0.2847  3 H 2.50

Computed properties:
Its density of states at the Fermi level is 2.9 states/eV/cell. The crystal system is trigonal.

---

Winner for stability: Q

---

P | First-principles (GGA-PBE) data for a relaxed structure of ErThH2, as listed in the Alexandria database.

Cell: 3.4742 3.4742 6.4163 Å, 74.29 74.29 60.00°
With the nearest neighbours (Å) after each atom.
Positions (direct):
Er 0.6696 0.6696 0.9912  6 H 2.36-2.39
Th 0.4938 0.4938 0.5186  6 H 2.58-2.77
H 0.0713 0.0713 0.7860  3 Er 2.36, 3 Th 2.58
H 0.2652 0.2652 0.2042  3 Er 2.39

Computed properties:
Its density of states at the Fermi level is 3.7 states/eV/cell. The crystal system is trigonal.

---

Q | First-principles (GGA-PBE) data for a relaxed structure of ErThH2, as listed in the Alexandria database.

Cell: 3.5471 3.5471 6.2018 Å, 73.38 73.38 60.00°
With the nearest neighbours (Å) after each atom.
Positions (direct):
H 0.7518 0.7518 0.7447  3 Er 2.50, 3 Th 2.54
H 0.2482 0.2482 0.2553  3 Er 2.50, 3 Th 2.54
Th 0.0000 0.0000 0.0000  6 H 2.54
Er 0.5000 0.5000 0.5000  6 H 2.50

Computed properties:
Its density of states at the Fermi level is 2.7 states/eV/cell. The crystal system is trigonal.

---

Winner for stability: Q

---

P | First-principles (GGA-PBE) data for a relaxed structure of Er2TiH, as listed in the Alexandria database.

Cell: 3.2901 3.2901 8.8511 Å, 79.29 79.29 60.00°
With the nearest neighbours (Å) after each atom.
Positions (direct):
H 0.5000 0.5000 0.5000  6 Er 2.35
Ti 0.0000 0.0000 0.0000  2 Er 2.93
Er 0.1131 0.1131 0.6607  3 H 2.35
Er 0.8869 0.8869 0.3393  3 H 2.35

Computed properties:
Its density of states at the Fermi level is 5.3 states/eV/cell. The crystal system is trigonal.

---

Q | First-principles (GGA-PBE) data for a relaxed structure of Er2TiH, as listed in the Alexandria database.

Cell: 3.1644 3.1644 7.6860 Å, 90.00 90.00 90.00°
With the nearest neighbours (Å) after each atom.
Positions (direct):
H 0.5000 0.5000 0.0000  8 Er 2.79
Ti 0.5000 0.5000 0.5000  8 Er 3.12, 4 Ti 3.16
Er 0.0000 0.0000 0.7834  4 H 2.79, 4 Ti 3.12
Er 0.0000 0.0000 0.2166  4 H 2.79, 4 Ti 3.12

Computed properties:
Its density of states at the Fermi level is 3.6 states/eV/cell. The crystal system is tetragonal.

---

Winner for stability: Q

---

P | First-principles (GGA-PBE) data for a relaxed structure of Er2TlH2, as listed in the Alexandria database.

Cell: 3.6959 3.6959 6.7601 Å, 105.86 105.86 90.00°
With the nearest neighbours (Å) after each atom.
Positions (direct):
Er 0.6519 0.6519 0.3038  4 H 2.22
Er 0.3481 0.3481 0.6962  4 H 2.22
Tl 0.0000 0.0000 0.0000  8 Er 3.23
H 0.7500 0.2500 0.5000  4 Er 2.22
H 0.2500 0.7500 0.5000  4 Er 2.22

Computed properties:
Its density of states at the Fermi level is 2.5 states/eV/cell. The crystal system is tetragonal.

---

Q | First-principles (GGA-PBE) data for a relaxed structure of Er2TlH2, as listed in the Alexandria database.

Cell: 5.8032 5.8032 6.3718 Å, 104.69 104.69 116.42°
With the nearest neighbours (Å) after each atom.
Positions (direct):
Er 0.4456 0.5544 0.2500  4 H 2.22
Er 0.8040 0.1960 0.2500  4 H 2.22
Er 0.1960 0.8040 0.7500  4 H 2.22
Er 0.5544 0.4456 0.7500  4 H 2.22
Tl 0.1252 0.8748 0.2500  10 Er 3.16-3.53, 8 H 3.24-3.34
Tl 0.8748 0.1252 0.7500  10 Er 3.16-3.53, 8 H 3.24-3.34
H 0.7448 0.4952 0.4901  4 Er 2.22
H 0.5048 0.2552 0.0099  4 Er 2.22
H 0.4952 0.7448 0.9901  4 Er 2.22
H 0.2552 0.5048 0.5099  4 Er 2.22

Computed properties:
Its density of states at the Fermi level is 5.2 states/eV/cell. The crystal system is orthorhombic.

---

Winner for stability: P

---

P | First-principles (GGA-PBE) data for a relaxed structure of ErTm2H, as listed in the Alexandria database.

Cell: 3.3022 3.3022 8.3199 Å, 90.00 90.00 90.00°
With the nearest neighbours (Å) after each atom.
Positions (direct):
H 0.5000 0.5000 0.0000  8 Tm 2.84
Tm 0.0000 0.0000 0.8067  4 H 2.84
Tm 0.0000 0.0000 0.1933  4 H 2.84
Er 0.5000 0.5000 0.5000  4 Er 3.30, 8 Tm 3.46

Computed properties:
Its density of states at the Fermi level is 3.9 states/eV/cell. The crystal system is tetragonal.

---

Q | First-principles (GGA-PBE) data for a relaxed structure of ErTm2H, as listed in the Alexandria database.

Cell: 3.5408 3.5408 8.5674 Å, 78.07 78.07 60.00°
With the nearest neighbours (Å) after each atom.
Positions (direct):
H 0.0000 0.0000 0.0000  6 Tm 2.45
Tm 0.2794 0.2794 0.1618  3 H 2.45
Tm 0.7206 0.7206 0.8382  3 H 2.45
Er 0.5000 0.5000 0.5000  6 Tm 3.48, 6 Er 3.54

Computed properties:
Its density of states at the Fermi level is 3.0 states/eV/cell. The crystal system is trigonal.

---

Winner for stability: Q

---

P | First-principles (GGA-PBE) data for a relaxed structure of ErTmH, as listed in the Alexandria database.

Cell: 6.9060 5.9941 6.9027 Å, 125.13 89.98 90.01°
With the nearest neighbours (Å) after each atom.
Positions (direct):
H 0.2500 0.5004 0.0003  4 Er 2.44, 2 Tm 2.45
H 0.2501 0.5004 0.5003  4 Er 2.44, 2 Tm 2.45
H 0.7499 0.4996 0.4997  4 Er 2.44, 2 Tm 2.45
H 0.7500 0.4996 0.9997  4 Er 2.44, 2 Tm 2.45
Tm 0.7499 0.0000 0.2500  2 H 2.45
Tm 0.7499 0.0000 0.7500  2 H 2.45
Tm 0.2501 0.0000 0.2500  2 H 2.45
Tm 0.2501 0.0000 0.7500  2 H 2.45
Er 0.5000 0.5001 0.2500  4 H 2.44
Er 0.0000 0.5002 0.7501  4 H 2.44
Er 0.0000 0.4998 0.2499  4 H 2.44
Er 0.5000 0.4999 0.7500  4 H 2.44

Computed properties:
Its density of states at the Fermi level is 9.7 states/eV/cell. The crystal system is tetragonal.

---

Q | First-principles (GGA-PBE) data for a relaxed structure of ErTmH, as listed in the Alexandria database.

Cell: 3.3058 3.3058 6.4006 Å, 104.97 104.97 90.00°
With the nearest neighbours (Å) after each atom.
Positions (direct):
H 0.2197 0.2197 0.4395  1 Tm 2.19, 4 Er 2.36
Tm 0.0362 0.0362 0.0724  1 H 2.19
Er 0.7441 0.7441 0.4881  4 H 2.36

Computed properties:
Its density of states at the Fermi level is 3.2 states/eV/cell. The crystal system is tetragonal.

---

Winner for stability: P